# 1
Computed, not measured: a relaxed structure of Sc3SbTe at the PBE level of DFT.

Geometry as CIF:
```
data_Sc3SbTe
_space_group_name_H-M_alt 'P m -3 m'
_space_group_IT_number 221
_space_group_name_Hall '-P 4 2 3'
_cell_length_a 5.280
_cell_length_b 5.280
_cell_length_c 5.280
_cell_angle_alpha 90.00
_cell_angle_beta 90.00
_cell_angle_gamma 90.00
loop_
_atom_site_label
_atom_site_fract_x
_atom_site_fract_y
_atom_site_fract_z
Sc1 0.000 0.000 0.500
Sb1 0.500 0.500 0.500
Te1 0.000 0.000 0.000
```

Summary:
Energy above the lowest structure with this stoichiometry   0.6203 eV per atom
VASP energy   -26.62 eV per cell


# 2
Computed, not measured: a relaxed structure of CeZrPa2 at the PBE level of DFT.

Geometry as CIF:
```
data_CeZrPa2
_space_group_name_H-M_alt 'P 4/m m m'
_space_group_IT_number 123
_space_group_name_Hall '-P 4 2'
_cell_length_a 4.611
_cell_length_b 4.611
_cell_length_c 4.741
_cell_angle_alpha 90.00
_cell_angle_beta 90.00
_cell_angle_gamma 90.00
loop_
_atom_site_label
_atom_site_fract_x
_atom_site_fract_y
_atom_site_fract_z
Ce1 0.000 0.000 0.000
Zr1 0.500 0.500 0.000
Pa1 0.000 0.500 0.500
```

Summary:
Energy above the lowest structure with this stoichiometry   0.0745 eV per atom
Formation enthalpy at 0 K   0.6 eV per formula unit
VASP energy   -32.91 eV per cell


# 3
Computed, not measured: a relaxed structure of Rb2NaHg2Pb at the PBE level of DFT.

Geometry as CIF:
```
data_Rb2NaHg2Pb
_space_group_name_H-M_alt 'I b a m'
_space_group_IT_number 72
_space_group_name_Hall '-I 2 2c'
_cell_length_a 7.041
_cell_length_b 18.241
_cell_length_c 7.258
_cell_angle_alpha 90.00
_cell_angle_beta 90.00
_cell_angle_gamma 90.00
loop_
_atom_site_label
_atom_site_fract_x
_atom_site_fract_y
_atom_site_fract_z
Rb1 0.247 0.174 0.000
Na1 0.000 0.500 0.250
Hg1 0.247 0.111 0.500
Pb1 0.000 0.000 0.250
```

Summary:
Formation enthalpy at 0 K   -1.1 eV per formula unit
VASP energy   -34.65 eV per cell


# 4
Computed, not measured: a relaxed structure of OsRu2Au at the PBE level of DFT.

Geometry as CIF:
```
data_OsRu2Au
_space_group_name_H-M_alt 'I m m m'
_space_group_IT_number 71
_space_group_name_Hall '-I 2 2'
_cell_length_a 2.755
_cell_length_b 4.659
_cell_length_c 9.755
_cell_angle_alpha 90.00
_cell_angle_beta 90.00
_cell_angle_gamma 90.00
loop_
_atom_site_label
_atom_site_fract_x
_atom_site_fract_y
_atom_site_fract_z
Os1 0.000 0.000 0.000
Ru1 0.000 0.500 0.277
Au1 0.000 0.000 0.500
```

Summary:
Energy above the lowest structure with this stoichiometry   0.3387 eV per atom
Formation enthalpy at 0 K   2.3 eV per formula unit
VASP energy   -61.51 eV per cell


# 5
Computed, not measured: a relaxed structure of Ac12Rh5Pb3 at the PBE level of DFT.

Geometry as CIF:
```
data_Ac12Rh5Pb3
_space_group_name_H-M_alt 'I a -3 d'
_space_group_IT_number 230
_space_group_name_Hall '-I 4bd 2c 3'
_cell_length_a 18.473
_cell_length_b 18.473
_cell_length_c 18.473
_cell_angle_alpha 90.00
_cell_angle_beta 90.00
_cell_angle_gamma 90.00
loop_
_atom_site_label
_atom_site_fract_x
_atom_site_fract_y
_atom_site_fract_z
Ac1 0.029 0.056 0.649
Rh1 0.000 0.000 0.000
Rh2 0.000 0.250 0.375
Pb1 0.000 0.250 0.125
```

Summary:
Formation enthalpy at 0 K   -7.7 eV per formula unit
VASP energy   -839.16 eV per cell